CrAsPb2O6: relaxed, PBE+U.

abc: 9.883 9.883 9.883
angles: 33.07 33.07 33.07
Positions (direct):
Cr (0.092, 0.092, 0.092)
Cr (0.908, 0.908, 0.908)
As (0.000, 0.000, 0.000)
As (0.500, 0.500, 0.500)
Pb (0.214, 0.214, 0.214)
Pb (0.376, 0.376, 0.376)
Pb (0.624, 0.624, 0.624)
Pb (0.786, 0.786, 0.786)
O (0.109, 0.109, 0.657)
O (0.109, 0.657, 0.109)
O (0.229, 0.694, 0.694)
O (0.306, 0.306, 0.771)
O (0.306, 0.771, 0.306)
O (0.343, 0.891, 0.891)
O (0.657, 0.109, 0.109)
O (0.694, 0.229, 0.694)
O (0.694, 0.694, 0.229)
O (0.771, 0.306, 0.306)
O (0.891, 0.343, 0.891)
O (0.891, 0.891, 0.343)

Calculated values
crystal system = trigonal
N(E_F) = 0.0 states/eV/cell
calculated total energy = -6.2283 eV/atom